{"formula": "PmSmU2P4", "functional": "PBE-GGA", "state": "optimized geometry", "lattice": [[6.920, 0.000, 0.000], [0.000, 3.997, 0.000], [-2.310, 0.000, 6.671]], "species": ["Pm", "Sm", "U", "U", "P", "P", "P", "P"], "frac_coords": [[0.000, 0.000, 0.000], [0.500, 0.500, 0.000], [0.000, 0.500, 0.500], [0.500, 0.000, 0.500], [0.246, 0.000, 0.737], [0.255, 0.500, 0.264], [0.745, 0.500, 0.736], [0.754, 0.000, 0.263]], "space_group": "No. 10", "delta_e_f_mev_per_atom": -1269, "vol_a3_per_cell": 185}

---

{"formula": "CePmAlPd", "functional": "PBE-GGA", "state": "optimized geometry", "lattice": [[0.000, 3.664, 3.664], [3.664, 0.000, 3.664], [3.664, 3.664, 0.000]], "species": ["Ce", "Pm", "Al", "Pd"], "frac_coords": [[0.000, 0.000, 0.000], [0.500, 0.500, 0.500], [0.250, 0.250, 0.250], [0.750, 0.750, 0.750]], "space_group": "No. 216", "delta_e_f_mev_per_atom": -400, "vol_a3_per_cell": 98}

---

{"formula": "ScCrSi", "functional": "PBE-GGA", "state": "optimized geometry", "lattice": [[4.163, -1.892, 0.000], [4.163, 1.892, 0.000], [-1.187, 0.000, 6.761]], "species": ["Sc", "Sc", "Cr", "Cr", "Si", "Si"], "frac_coords": [[0.032, 0.032, 0.229], [0.968, 0.968, 0.771], [0.310, 0.310, 0.962], [0.690, 0.690, 0.038], [0.240, 0.240, 0.604], [0.760, 0.760, 0.396]], "raw_formation_energy_mev_per_atom": -23.7, "space_group": "No. 12", "vol_a3_per_cell": 107}

---

{"formula": "BaHfZr2", "functional": "PBE-GGA", "state": "optimized geometry", "lattice": [[1.641, 0.947, 11.738], [-1.641, 0.947, 11.738], [0.000, -1.895, 11.738]], "species": ["Ba", "Hf", "Zr", "Zr"], "frac_coords": [[0.000, 0.000, 0.000], [0.500, 0.500, 0.500], [0.096, 0.096, 0.096], [0.904, 0.904, 0.904]], "e_above_lowest_polymorph_mev_per_atom": 0, "space_group": "No. 166", "delta_e_f_mev_per_atom": 392, "vol_a3_per_cell": 110}

---

{"formula": "YOsAu4", "functional": "PBE-GGA", "state": "optimized geometry", "lattice": [[0.000, 3.865, 3.865], [3.865, 0.000, 3.865], [3.865, 3.865, 0.000]], "species": ["Y", "Os", "Au", "Au", "Au", "Au"], "frac_coords": [[0.000, 0.000, 0.000], [0.250, 0.250, 0.250], [0.126, 0.625, 0.625], [0.625, 0.126, 0.625], [0.625, 0.625, 0.126], [0.625, 0.625, 0.625]], "space_group": "No. 216", "delta_e_f_mev_per_atom": 138, "vol_a3_per_cell": 115}

---

{"formula": "Cr2ReNi", "functional": "PBE-GGA", "state": "optimized geometry", "lattice": [[3.018, 0.000, 0.000], [0.000, 3.018, 0.000], [0.000, 0.000, 5.436]], "species": ["Cr", "Cr", "Re", "Ni"], "frac_coords": [[0.000, 0.000, 0.000], [0.500, 0.500, 0.244], [0.500, 0.500, 0.743], [0.000, 0.000, 0.472]], "space_group": "No. 99", "delta_e_f_mev_per_atom": 144, "vol_a3_per_cell": 49}